This record from the Alexandria database describes a geometry-optimized ScMoRh structure. The functional is PBEsol.

Lattice parameters (Å, degrees): 6.0159 6.0159 6.0159 90.00 90.00 90.00
Space group F-43m (No. 216)
Unique sites:
1 Sc 0.0000 0.0000 0.0000 (multiplicity 4)
2 Mo 0.2500 0.2500 0.7500 (multiplicity 4)
3 Rh 0.0000 0.0000 0.5000 (multiplicity 4)

Properties
formation energy from the elements = 0.39 eV/atom
crystal system = cubic
volume = 18.14 A^3/atom